# CaIn2Si2 PBE relaxed
data_CaIn2Si2
_cell_length_a 4.966
_cell_length_b 4.966
_cell_length_c 10.024
_cell_angle_alpha 90.00
_cell_angle_beta 90.00
_cell_angle_gamma 90.00
_space_group_name_H-M_alt 'I 4/m m m'
_space_group_IT_number 139
_space_group_name_Hall '-I 4 2'
loop_
_atom_site_label
_atom_site_type_symbol
_atom_site_fract_x
_atom_site_fract_y
_atom_site_fract_z
Ca1 Ca 0.000 0.000 0.000
In1 In 0.000 0.000 0.361
Si1 Si 0.000 0.500 0.250
# Energy   -36.01 eV/cell
# Total magnetization   0.00 Bohr magnetons per cell
# ρ   4377 kg/m3
# Formation energy without anion corrections   0.064 eV per atom



# CaIn3Si PBE relaxed
data_CaIn3Si
_cell_length_a 5.328
_cell_length_b 5.328
_cell_length_c 5.328
_cell_angle_alpha 90.00
_cell_angle_beta 90.00
_cell_angle_gamma 90.00
_space_group_name_H-M_alt 'P m -3 m'
_space_group_IT_number 221
_space_group_name_Hall '-P 4 2 3'
loop_
_atom_site_label
_atom_site_type_symbol
_atom_site_fract_x
_atom_site_fract_y
_atom_site_fract_z
Ca1 Ca 0.000 0.000 0.000
In1 In 0.000 0.500 0.500
Si1 Si 0.500 0.500 0.500
# Energy   -14.74 eV/cell
# Total magnetization   0.00 Bohr magnetons per cell
# ρ   4530 kg/m3
# ΔE to the lowest computed polymorph   0.000 eV per atom
# Formation energy without anion corrections   0.179 eV per atom



# CaIn2Si PBE relaxed
data_CaIn2Si
_cell_length_a 7.368
_cell_length_b 7.368
_cell_length_c 7.368
_cell_angle_alpha 90.00
_cell_angle_beta 90.00
_cell_angle_gamma 90.00
_space_group_name_H-M_alt 'F -4 3 m'
_space_group_IT_number 216
_space_group_name_Hall 'F -4 2 3'
loop_
_atom_site_label
_atom_site_type_symbol
_atom_site_fract_x
_atom_site_fract_y
_atom_site_fract_z
Ca1 Ca 0.000 0.000 0.000
In1 In 0.000 0.000 0.500
In2 In 0.250 0.250 0.250
Si1 Si 0.250 0.250 0.750
# Energy   -51.58 eV/cell
# Total magnetization   0.00 Bohr magnetons per cell
# ρ   4945 kg/m3
# Formation energy without anion corrections   0.002 eV per atom



# Ca4InSi PBE relaxed
data_Ca4InSi
_cell_length_a 9.226
_cell_length_b 14.022
_cell_length_c 6.096
_cell_angle_alpha 90.00
_cell_angle_beta 110.09
_cell_angle_gamma 90.00
_space_group_name_H-M_alt 'C 1 2/c 1'
_space_group_IT_number 15
loop_
_space_group_symop_operation_xyz
'x,y,z'
'-x,-y,-z'
'-x,y,-z+1/2'
'x,-y,z+1/2'
'x+1/2,y+1/2,z'
'-x+1/2,-y+1/2,-z'
'-x+1/2,y+1/2,-z+1/2'
'x+1/2,-y+1/2,z+1/2'
loop_
_atom_site_label
_atom_site_type_symbol
_atom_site_fract_x
_atom_site_fract_y
_atom_site_fract_z
Ca1 Ca 0.116 0.172 0.061
Ca2 Ca 0.208 0.427 0.351
In1 In 0.000 0.367 0.750
Si1 Si 0.000 0.002 0.250
# Energy   -73.83 eV/cell
# Total magnetization   0.00 Bohr magnetons per cell
# ρ   2719 kg/m3
# ΔE to the lowest computed polymorph   0.000 eV per atom
# Formation energy without anion corrections   -0.381 eV per atom



# CaIn2Si PBE relaxed
data_CaIn2Si
_cell_length_a 3.464
_cell_length_b 5.129
_cell_length_c 5.621
_cell_angle_alpha 90.00
_cell_angle_beta 97.06
_cell_angle_gamma 90.00
_space_group_name_H-M_alt 'P 1 2/m 1'
_space_group_IT_number 10
loop_
_space_group_symop_operation_xyz
'x,y,z'
'-x,-y,-z'
'-x,y,-z'
'x,-y,z'
loop_
_atom_site_label
_atom_site_type_symbol
_atom_site_fract_x
_atom_site_fract_y
_atom_site_fract_z
Ca1 Ca 0.000 0.000 0.000
In1 In 0.356 0.500 0.734
Si1 Si 0.500 0.000 0.500
# Energy   -13.11 eV/cell
# Total magnetization   0.00 Bohr magnetons per cell
# ρ   4988 kg/m3
# Formation energy without anion corrections   -0.052 eV per atom



# CaInSi3 PBE relaxed
data_CaInSi3
_cell_length_a 5.347
_cell_length_b 5.347
_cell_length_c 5.347
_cell_angle_alpha 90.00
_cell_angle_beta 90.00
_cell_angle_gamma 90.00
_space_group_name_H-M_alt 'P m -3 m'
_space_group_IT_number 221
_space_group_name_Hall '-P 4 2 3'
loop_
_atom_site_label
_atom_site_type_symbol
_atom_site_fract_x
_atom_site_fract_y
_atom_site_fract_z
Ca1 Ca 0.000 0.000 0.000
In1 In 0.500 0.500 0.500
Si1 Si 0.000 0.000 0.500
# Energy   -14.68 eV/cell
# Total magnetization   0.73 Bohr magnetons per cell
# ρ   2598 kg/m3
# ΔE to the lowest computed polymorph   0.472 eV per atom
# Formation energy without anion corrections   1.265 eV per atom